(1)
Here is a geometry-optimized GdGaPd2 structure from Alexandria. Energies are from PBE.

Summary:
Its calculated total energy is -7.55 eV per atom. As for the energy of formation from the pure elements: -2.7 eV per formula unit. The space group is P4/mmm. The value obtained for the total magnetic moment is 7.06 Bohr magnetons per cell.

Lattice parameters (Å, degrees): 3.376 3.376 6.527 90.00 90.00 90.00
Atoms (fractional coordinates):
1 Gd 0.500 0.500 0.500
2 Ga 0.500 0.500 0.000
3 Pd 0.000 0.000 0.787
4 Pd 0.000 0.000 0.213

(2)
Here is a geometry-optimized PmGdGaPd structure from Alexandria. Energies are from PBE.

Summary:
Its calculated total energy is -7.41 eV per atom. As for the energy of formation from the pure elements: -2.6 eV per formula unit. The space group is F-43m. The value obtained for the total magnetic moment is 7.19 Bohr magnetons per cell.

Lattice parameters (Å, degrees): 5.120 5.120 5.120 60.00 60.00 60.00
Atoms (fractional coordinates):
1 Gd 0.500 0.500 0.500
2 Ga 0.250 0.250 0.250
3 Pd 0.750 0.750 0.750
4 Pm 0.000 0.000 0.000

(3)
Here is a geometry-optimized PrGdGaPd structure from Alexandria. Energies are from PBE.

Summary:
Its calculated total energy is -7.39 eV per atom. As for the energy of formation from the pure elements: -2.5 eV per formula unit. The space group is F-43m. The value obtained for the total magnetic moment is 7.21 Bohr magnetons per cell.

Lattice parameters (Å, degrees): 5.159 5.159 5.159 60.00 60.00 60.00
Atoms (fractional coordinates):
1 Pr 0.750 0.750 0.750
2 Gd 0.250 0.250 0.250
3 Ga 0.500 0.500 0.500
4 Pd 0.000 0.000 0.000

(4)
Here is a geometry-optimized GdGaPdPt structure from Alexandria. Energies are from PBE.

Summary:
Its calculated total energy is -7.90 eV per atom. As for the energy of formation from the pure elements: -3.3 eV per formula unit. The space group is F-43m. The value obtained for the total magnetic moment is 7.22 Bohr magnetons per cell.

Lattice parameters (Å, degrees): 4.723 4.723 4.723 60.00 60.00 60.00
Atoms (fractional coordinates):
1 Ga 0.000 0.000 0.000
2 Gd 0.500 0.500 0.500
3 Pd 0.250 0.250 0.250
4 Pt 0.750 0.750 0.750

(5)
Here is a geometry-optimized GdPuGaPd structure from Alexandria. Energies are from PBE.

Summary:
Its calculated total energy is -9.61 eV per atom. As for the energy of formation from the pure elements: -1.8 eV per formula unit. The space group is F-43m. The value obtained for the total magnetic moment is 1.68 Bohr magnetons per cell.

Lattice parameters (Å, degrees): 5.063 5.063 5.063 60.00 60.00 60.00
Atoms (fractional coordinates):
1 Gd 0.500 0.500 0.500
2 Ga 0.250 0.250 0.250
3 Pd 0.750 0.750 0.750
4 Pu 0.000 0.000 0.000

(6)
Here is a geometry-optimized GdGaPdRh structure from Alexandria. Energies are from PBE.

Summary:
Its calculated total energy is -8.13 eV per atom. As for the energy of formation from the pure elements: -2.9 eV per formula unit. The space group is F-43m. The value obtained for the total magnetic moment is 7.13 Bohr magnetons per cell.

Lattice parameters (Å, degrees): 4.662 4.662 4.662 60.00 60.00 60.00
Atoms (fractional coordinates):
1 Gd 0.750 0.750 0.750
2 Rh 0.000 0.000 0.000
3 Ga 0.250 0.250 0.250
4 Pd 0.500 0.500 0.500

(7)
Here is a geometry-optimized GdGaPdRu structure from Alexandria. Energies are from PBE.

Summary:
Its calculated total energy is -8.39 eV per atom. As for the energy of formation from the pure elements: -2.0 eV per formula unit. The space group is F-43m. The value obtained for the total magnetic moment is 7.05 Bohr magnetons per cell.

Lattice parameters (Å, degrees): 4.632 4.632 4.632 60.00 60.00 60.00
Atoms (fractional coordinates):
1 Ru 0.000 0.000 0.000
2 Gd 0.250 0.250 0.250
3 Ga 0.750 0.750 0.750
4 Pd 0.500 0.500 0.500

(8)
Here is a geometry-optimized SmGdGaPd structure from Alexandria. Energies are from PBE.

Summary:
Its calculated total energy is -7.41 eV per atom. As for the energy of formation from the pure elements: -2.6 eV per formula unit. The space group is F-43m. The value obtained for the total magnetic moment is 7.18 Bohr magnetons per cell.

Lattice parameters (Å, degrees): 5.105 5.105 5.105 60.00 60.00 60.00
Atoms (fractional coordinates):
1 Ga 0.750 0.750 0.750
2 Gd 0.000 0.000 0.000
3 Pd 0.250 0.250 0.250
4 Sm 0.500 0.500 0.500

(9)
Here is a geometry-optimized SrGdGaPd structure from Alexandria. Energies are from PBE.

Summary:
Its calculated total energy is -6.49 eV per atom. As for the energy of formation from the pure elements: -2.0 eV per formula unit. The space group is F-43m. The value obtained for the total magnetic moment is 7.18 Bohr magnetons per cell.

Lattice parameters (Å, degrees): 5.209 5.209 5.209 60.00 60.00 60.00
Atoms (fractional coordinates):
1 Sr 0.500 0.500 0.500
2 Gd 0.000 0.000 0.000
3 Ga 0.250 0.250 0.250
4 Pd 0.750 0.750 0.750

(10)
Here is a geometry-optimized TbGdGaPd structure from Alexandria. Energies are from PBE.

Summary:
Its calculated total energy is -7.42 eV per atom. As for the energy of formation from the pure elements: -2.7 eV per formula unit. The space group is F-43m. The value obtained for the total magnetic moment is 7.17 Bohr magnetons per cell.

Lattice parameters (Å, degrees): 5.061 5.061 5.061 60.00 60.00 60.00
Atoms (fractional coordinates):
1 Gd 0.000 0.000 0.000
2 Tb 0.500 0.500 0.500
3 Ga 0.250 0.250 0.250
4 Pd 0.750 0.750 0.750

(11)
Here is a geometry-optimized GdThGaPd structure from Alexandria. Energies are from PBE.

Summary:
Its calculated total energy is -8.00 eV per atom. As for the energy of formation from the pure elements: -2.3 eV per formula unit. The space group is F-43m. The value obtained for the total magnetic moment is 7.50 Bohr magnetons per cell.

Lattice parameters (Å, degrees): 5.141 5.141 5.141 60.00 60.00 60.00
Atoms (fractional coordinates):
1 Ga 0.250 0.250 0.250
2 Gd 0.000 0.000 0.000
3 Pd 0.750 0.750 0.750
4 Th 0.500 0.500 0.500

(12)
Here is a geometry-optimized GdZnGaPd structure from Alexandria. Energies are from PBE.

Summary:
Its calculated total energy is -6.45 eV per atom. As for the energy of formation from the pure elements: -2.2 eV per formula unit. The space group is F-43m. The value obtained for the total magnetic moment is 7.16 Bohr magnetons per cell.

Lattice parameters (Å, degrees): 4.724 4.724 4.724 60.00 60.00 60.00
Atoms (fractional coordinates):
1 Zn 0.500 0.500 0.500
2 Gd 0.750 0.750 0.750
3 Ga 0.250 0.250 0.250
4 Pd 0.000 0.000 0.000

(13)
Here is a geometry-optimized PmGd2Ga structure from Alexandria. Energies are from PBE.

Summary:
Its calculated total energy is -9.26 eV per atom. As for the energy of formation from the pure elements: -1.1 eV per formula unit. The space group is P4/mmm. The value obtained for the total magnetic moment is 14.49 Bohr magnetons per cell.

Lattice parameters (Å, degrees): 3.568 3.568 9.012 90.00 90.00 90.00
Atoms (fractional coordinates):
1 Gd 0.000 0.000 0.793
2 Gd 0.000 0.000 0.207
3 Ga 0.500 0.500 0.000
4 Pm 0.500 0.500 0.500

(14)
Here is a geometry-optimized PmGd2Ga structure from Alexandria. Energies are from PBE.

Summary:
Its calculated total energy is -9.24 eV per atom. As for the energy of formation from the pure elements: -1.0 eV per formula unit. The space group is P4/mmm. The value obtained for the total magnetic moment is 15.25 Bohr magnetons per cell.

Lattice parameters (Å, degrees): 4.815 4.772 4.772 90.00 90.00 90.00
Atoms (fractional coordinates):
1 Gd 0.000 0.000 0.500
2 Gd 0.000 0.500 0.000
3 Ga 0.500 0.000 0.000
4 Pm 0.500 0.500 0.500

(15)
Here is a geometry-optimized PmGd2Ga structure from Alexandria. Energies are from PBE.

Summary:
Its calculated total energy is -8.83 eV per atom. As for the energy of formation from the pure elements: 0.6 eV per formula unit. The space group is R-3m. The value obtained for the total magnetic moment is 14.88 Bohr magnetons per cell.

Lattice parameters (Å, degrees): 3.518 3.518 12.010 81.58 81.58 60.00
Atoms (fractional coordinates):
1 Gd 0.085 0.085 0.745
2 Gd 0.915 0.915 0.255
3 Ga 0.000 0.000 0.000
4 Pm 0.500 0.500 0.500